## Pr3Er3TmTe8 (GGA-PBE)

Data for a relaxed Pr3Er3TmTe8 crystal.

Cell lengths 8.862, 8.862, 8.862 Å; angles 59.27, 59.27, 59.27 degrees
Sites, in units of the cell vectors:
1 Pr 0.000 0.500 0.500
2 Pr 0.500 0.000 0.500
3 Pr 0.500 0.500 0.000
4 Er 0.000 0.000 0.500
5 Er 0.000 0.500 0.000
6 Er 0.500 0.000 0.000
7 Tm 0.500 0.500 0.500
8 Te 0.239 0.750 0.750
9 Te 0.244 0.244 0.244
10 Te 0.250 0.250 0.761
11 Te 0.250 0.761 0.250
12 Te 0.750 0.239 0.750
13 Te 0.750 0.750 0.239
14 Te 0.756 0.756 0.756
15 Te 0.761 0.250 0.250

Values from the calculation:
raw formation energy: -1.380 eV/atom
total moment: 0.00 μB/f.u.